Below is a relaxed MnBeN3 crystal, with properties calculated at the PBE level.

Geometry as CIF:
```
data_MnBeN3
_symmetry_space_group_name_H-M 'P m -3 m'
_symmetry_Int_Tables_number 221
_symmetry_space_group_name_Hall '-P 4 2 3'
_cell_length_a 3.6247
_cell_length_b 3.6247
_cell_length_c 3.6247
_cell_angle_alpha 90.00
_cell_angle_beta 90.00
_cell_angle_gamma 90.00
loop_
_atom_site_label
_atom_site_type_symbol
_atom_site_fract_x
_atom_site_fract_y
_atom_site_fract_z
_atom_site_occupancy
Mn1 Mn 0.0000 0.0000 0.0000 1
Be1 Be 0.5000 0.5000 0.5000 1
N1 N 0.0000 0.0000 0.5000 1
```

calculated volume	47.6	Å³/f.u.
density of states at the Fermi level	5.19	states/eV/cell
ΔE_f (raw)	1279.0	meV/atom